{
  "formula": "Tb6Dy3Er2Tm",
  "functional": "PBE",
  "state": "relaxed",
  "lattice": [[6.119, 0.002, 0.007], [-3.057, 5.301, 0.007], [-1.029, -1.782, 11.514]],
  "species": ["Tb", "Tb", "Tb", "Tb", "Tb", "Tb", "Dy", "Dy", "Dy", "Er", "Er", "Tm"],
  "fractional_positions": [[0.917, 0.584, 0.751], [0.750, 0.750, 0.249], [0.083, 0.416, 0.249], [0.584, 0.917, 0.751], [0.250, 0.250, 0.751], [0.416, 0.083, 0.249], [0.167, 0.833, 0.500], [0.833, 0.167, 0.500], [0.500, 0.500, 0.500], [0.333, 0.667, 0.000], [0.667, 0.333, 0.000], [0.000, 0.000, 0.000]],
  "space_group": "C2/m",
  "formation_enthalpy_0k_ev_per_atom": 0.02
}